Density functional theory data (PBE) for a geometry-optimized Mo5Pt structure.

Cell lengths 5.167, 5.167, 5.167 Å; angles 60.00, 60.00, 60.00 degrees
Fractional coordinates of all 6 atoms:
Mo 0.750 0.750 0.750
Mo 0.873 0.376 0.376
Mo 0.376 0.376 0.376
Mo 0.376 0.873 0.376
Mo 0.376 0.376 0.873
Pt 0.000 0.000 0.000

Values from the calculation:
Its theoretical density is 11.5 g/cm3. Its density of states at the Fermi level is 0.797 states/eV per atom. For the distance to the lowest polymorph of the same formula, the calculation gives 98 kJ/mol of formula units. The formation energy comes out at 192 meV per atom.